[1]
# GGA-PBE Pr6HgOs2Br3, relaxed
# Total energy (eV per atom): -5.460
# Formation energy from raw total energies (meV per atom): -755.0
data_Pr6HgOs2Br3
_cell_length_a 7.379
_cell_length_b 12.788
_cell_length_c 8.274
_cell_angle_alpha 90.00
_cell_angle_beta 107.20
_cell_angle_gamma 90.00
_symmetry_space_group_name_H-M 'C 1 2/m 1'
_symmetry_Int_Tables_number 12
loop_
_symmetry_equiv_pos_as_xyz
'x,y,z'
'-x,-y,-z'
'-x,y,-z'
'x,-y,z'
'x+1/2,y+1/2,z'
'-x+1/2,-y+1/2,-z'
'-x+1/2,y+1/2,-z'
'x+1/2,-y+1/2,z'
loop_
_atom_site_label
_atom_site_type_symbol
_atom_site_fract_x
_atom_site_fract_y
_atom_site_fract_z
_atom_site_occupancy
Pr1 Pr 0.200 0.000 0.202 1
Pr2 Pr 0.249 0.183 0.798 1
Hg1 Hg 0.000 0.500 0.000 1
Os1 Os 0.000 0.167 0.000 1
Br1 Br 0.000 0.000 0.500 1
Br2 Br 0.000 0.332 0.500 1


[2]
# GGA-PBE K2In2Te5, relaxed
# Total energy (eV per atom): -3.132
# Formation energy from raw total energies (meV per atom): -534.3
data_K2In2Te5
_cell_length_a 17.855
_cell_length_b 4.650
_cell_length_c 8.852
_cell_angle_alpha 90.00
_cell_angle_beta 104.70
_cell_angle_gamma 90.00
_symmetry_space_group_name_H-M 'C 1 2/m 1'
_symmetry_Int_Tables_number 12
loop_
_symmetry_equiv_pos_as_xyz
'x,y,z'
'-x,-y,-z'
'-x,y,-z'
'x,-y,z'
'x+1/2,y+1/2,z'
'-x+1/2,-y+1/2,-z'
'-x+1/2,y+1/2,-z'
'x+1/2,-y+1/2,z'
loop_
_atom_site_label
_atom_site_type_symbol
_atom_site_fract_x
_atom_site_fract_y
_atom_site_fract_z
_atom_site_occupancy
K1 K 0.117 0.000 0.363 1
In1 In 0.129 0.500 0.778 1
Te1 Te 0.000 0.500 0.500 1
Te2 Te 0.082 0.500 0.059 1
Te3 Te 0.222 0.000 0.760 1


[3]
# GGA-PBE AgSn2Pd8, relaxed
# DFT formation energy (meV per atom): -328
# Total energy (eV per atom): -5.092
# Energy relative to the lowest polymorph listed for this composition (eV/atom): 0.000
data_AgSn2Pd8
_cell_length_a 4.230
_cell_length_b 7.308
_cell_length_c 12.121
_cell_angle_alpha 90.00
_cell_angle_beta 90.00
_cell_angle_gamma 90.00
_symmetry_space_group_name_H-M 'I m m m'
_symmetry_Int_Tables_number 71
_symmetry_space_group_name_Hall '-I 2 2'
loop_
_atom_site_label
_atom_site_type_symbol
_atom_site_fract_x
_atom_site_fract_y
_atom_site_fract_z
_atom_site_occupancy
Ag1 Ag 0.000 0.000 0.000 1
Sn1 Sn 0.000 0.000 0.313 1
Pd1 Pd 0.000 0.208 0.500 1
Pd2 Pd 0.000 0.273 0.159 1
Pd3 Pd 0.000 0.500 0.348 1


[4]
# GGA-PBE ZnNiI2N, relaxed
# Total energy (eV per atom): -3.132
# Energy relative to the lowest polymorph listed for this composition (eV/atom): 0.000
# Formation energy from raw total energies (meV per atom): 563.7
data_ZnNiI2N
_cell_length_a 5.521
_cell_length_b 5.521
_cell_length_c 3.558
_cell_angle_alpha 90.00
_cell_angle_beta 90.00
_cell_angle_gamma 90.00
_symmetry_space_group_name_H-M 'P 4/m m m'
_symmetry_Int_Tables_number 123
_symmetry_space_group_name_Hall '-P 4 2'
loop_
_atom_site_label
_atom_site_type_symbol
_atom_site_fract_x
_atom_site_fract_y
_atom_site_fract_z
_atom_site_occupancy
Zn1 Zn 0.000 0.000 0.000 1
Ni1 Ni 0.500 0.500 0.500 1
I1 I 0.000 0.500 0.500 1
N1 N 0.500 0.500 0.000 1


[5]
# GGA-PBE Zr2ScPb, relaxed
# DFT formation energy (meV per atom): -87
# Total energy (eV per atom): -6.871
data_Zr2ScPb
_cell_length_a 3.345
_cell_length_b 5.336
_cell_length_c 10.598
_cell_angle_alpha 90.00
_cell_angle_beta 90.00
_cell_angle_gamma 90.00
_symmetry_space_group_name_H-M 'I m m 2'
_symmetry_Int_Tables_number 44
loop_
_symmetry_equiv_pos_as_xyz
'x,y,z'
'-x,-y,z'
'-x,y,z'
'x,-y,z'
'x+1/2,y+1/2,z+1/2'
'-x+1/2,-y+1/2,z+1/2'
'-x+1/2,y+1/2,z+1/2'
'x+1/2,-y+1/2,z+1/2'
loop_
_atom_site_label
_atom_site_type_symbol
_atom_site_fract_x
_atom_site_fract_y
_atom_site_fract_z
_atom_site_occupancy
Zr1 Zr 0.000 0.000 0.000 1
Zr2 Zr 0.000 0.500 0.257 1
Sc1 Sc 0.000 0.000 0.502 1
Pb1 Pb 0.000 0.500 0.753 1


[6]
# GGA-PBE SrPt2F8, relaxed
# Total energy (eV per atom): -4.504
# Formation energy from raw total energies (meV per atom): -1891.7
data_SrPt2F8
_cell_length_a 10.214
_cell_length_b 7.640
_cell_length_c 4.675
_cell_angle_alpha 90.00
_cell_angle_beta 93.10
_cell_angle_gamma 90.00
_symmetry_space_group_name_H-M 'C 1 2/m 1'
_symmetry_Int_Tables_number 12
loop_
_symmetry_equiv_pos_as_xyz
'x,y,z'
'-x,-y,-z'
'-x,y,-z'
'x,-y,z'
'x+1/2,y+1/2,z'
'-x+1/2,-y+1/2,-z'
'-x+1/2,y+1/2,-z'
'x+1/2,-y+1/2,z'
loop_
_atom_site_label
_atom_site_type_symbol
_atom_site_fract_x
_atom_site_fract_y
_atom_site_fract_z
_atom_site_occupancy
Sr1 Sr 0.000 0.000 0.000 1
Pt1 Pt 0.112 0.500 0.258 1
F1 F 0.090 0.500 0.753 1
F2 F 0.110 0.240 0.258 1
F3 F 0.196 0.000 0.730 1


[7]
# GGA-PBE CsLi4Ca, relaxed
# DFT formation energy (meV per atom): 161
# Total energy (eV per atom): -1.591
data_CsLi4Ca
_cell_length_a 9.342
_cell_length_b 9.342
_cell_length_c 9.342
_cell_angle_alpha 90.00
_cell_angle_beta 90.00
_cell_angle_gamma 90.00
_symmetry_space_group_name_H-M 'F -4 3 m'
_symmetry_Int_Tables_number 216
_symmetry_space_group_name_Hall 'F -4 2 3'
loop_
_atom_site_label
_atom_site_type_symbol
_atom_site_fract_x
_atom_site_fract_y
_atom_site_fract_z
_atom_site_occupancy
Cs1 Cs 0.000 0.000 0.000 1
Li1 Li 0.120 0.120 0.380 1
Ca1 Ca 0.250 0.250 0.750 1


[8]
# GGA-PBE Bi2Pb2I, relaxed
# Total energy (eV per atom): -3.472
# Energy relative to the lowest polymorph listed for this composition (eV/atom): 0.000
# Formation energy from raw total energies (meV per atom): -126.6
data_Bi2Pb2I
_cell_length_a 4.780
_cell_length_b 4.780
_cell_length_c 16.301
_cell_angle_alpha 90.00
_cell_angle_beta 90.00
_cell_angle_gamma 90.00
_symmetry_space_group_name_H-M 'I 4/m m m'
_symmetry_Int_Tables_number 139
_symmetry_space_group_name_Hall '-I 4 2'
loop_
_atom_site_label
_atom_site_type_symbol
_atom_site_fract_x
_atom_site_fract_y
_atom_site_fract_z
_atom_site_occupancy
Bi1 Bi 0.000 0.500 0.250 1
Pb1 Pb 0.000 0.000 0.111 1
I1 I 0.000 0.000 0.500 1


[9]
# GGA-PBE AlMoPt2, relaxed
# DFT formation energy (meV per atom): -42
# Total energy (eV per atom): -6.706
data_AlMoPt2
_cell_length_a 3.878
_cell_length_b 3.878
_cell_length_c 17.819
_cell_angle_alpha 90.00
_cell_angle_beta 90.00
_cell_angle_gamma 90.00
_symmetry_space_group_name_H-M 'I -4 2 d'
_symmetry_Int_Tables_number 122
_symmetry_space_group_name_Hall 'I -4 2bw'
loop_
_atom_site_label
_atom_site_type_symbol
_atom_site_fract_x
_atom_site_fract_y
_atom_site_fract_z
_atom_site_occupancy
Al1 Al 0.000 0.000 0.000 1
Mo1 Mo 0.000 0.000 0.500 1
Pt1 Pt 0.246 0.250 0.125 1


[10]
# GGA-PBE CaLaTh2P4, relaxed
# DFT formation energy (meV per atom): -1498
# Total energy (eV per atom): -6.924
data_CaLaTh2P4
_cell_length_a 7.239
_cell_length_b 4.191
_cell_length_c 7.248
_cell_angle_alpha 90.00
_cell_angle_beta 109.50
_cell_angle_gamma 90.00
_symmetry_space_group_name_H-M 'P 1 2/m 1'
_symmetry_Int_Tables_number 10
loop_
_symmetry_equiv_pos_as_xyz
'x,y,z'
'-x,-y,-z'
'-x,y,-z'
'x,-y,z'
loop_
_atom_site_label
_atom_site_type_symbol
_atom_site_fract_x
_atom_site_fract_y
_atom_site_fract_z
_atom_site_occupancy
Ca1 Ca 0.000 0.000 0.000 1
La1 La 0.500 0.500 0.000 1
Th1 Th 0.000 0.500 0.500 1
Th2 Th 0.500 0.000 0.500 1
P1 P 0.246 0.000 0.741 1
P2 P 0.253 0.500 0.261 1


[11]
# GGA-PBE Ce2PmSb, relaxed
# Total energy (eV per atom): -5.714
# Energy relative to the lowest polymorph listed for this composition (eV/atom): 0.075
# Formation energy from raw total energies (meV per atom): -528.5
data_Ce2PmSb
_cell_length_a 4.675
_cell_length_b 4.675
_cell_length_c 5.055
_cell_angle_alpha 90.00
_cell_angle_beta 90.00
_cell_angle_gamma 90.00
_symmetry_space_group_name_H-M 'P 4/m m m'
_symmetry_Int_Tables_number 123
_symmetry_space_group_name_Hall '-P 4 2'
loop_
_atom_site_label
_atom_site_type_symbol
_atom_site_fract_x
_atom_site_fract_y
_atom_site_fract_z
_atom_site_occupancy
Ce1 Ce 0.000 0.500 0.000 1
Pm1 Pm 0.000 0.000 0.500 1
Sb1 Sb 0.500 0.500 0.500 1


[12]
# GGA-PBE TiFe5Co6, relaxed
# DFT formation energy (meV per atom): -103
# Total energy (eV per atom): -7.840
data_TiFe5Co6
_cell_length_a 4.042
_cell_length_b 12.094
_cell_length_c 5.760
_cell_angle_alpha 90.00
_cell_angle_beta 90.00
_cell_angle_gamma 90.00
_symmetry_space_group_name_H-M 'C m m m'
_symmetry_Int_Tables_number 65
_symmetry_space_group_name_Hall '-C 2 2'
loop_
_atom_site_label
_atom_site_type_symbol
_atom_site_fract_x
_atom_site_fract_y
_atom_site_fract_z
_atom_site_occupancy
Ti1 Ti 0.000 0.000 0.000 1
Fe1 Fe 0.000 0.000 0.500 1
Fe2 Fe 0.000 0.332 0.000 1
Fe3 Fe 0.000 0.334 0.500 1
Co1 Co 0.000 0.168 0.254 1
Co2 Co 0.000 0.500 0.256 1


no.,DOS at the Fermi energy (states/eV per cell)
1,12.8
2,2.2
3,9.5
4,4.0
5,7.6
6,15.1
7,18.6
8,3.6
9,8.7
10,1.9
11,10.0
12,17.8